First-principles (PBE) data for a relaxed structure of Rb2NaFeMo, as listed in Alexandria.

Lattice parameters (Å, degrees): 6.742 6.742 5.334 90.00 90.00 90.00
Positions (direct):
Rb (0.000, 0.500, 0.000)
Rb (0.500, 0.000, 0.000)
Na (0.000, 0.000, 0.000)
Fe (0.000, 0.000, 0.500)
Mo (0.500, 0.500, 0.500)

Results
Size of the total moment in μB per formula unit: 1.9
ΔH_f (0 K) in eV/atom: 1.7861
DFT total energy in eV/f.u.: -13.6

First-principles (PBE) data for a relaxed structure of Rb2NaFeMo, as listed in Alexandria.

Lattice parameters (Å, degrees): 6.945 6.945 4.484 90.00 90.00 90.00
Positions (direct):
Rb (0.000, 0.500, 0.000)
Rb (0.500, 0.000, 0.000)
Na (0.000, 0.000, 0.500)
Fe (0.500, 0.500, 0.000)
Mo (0.500, 0.500, 0.500)

Results
Size of the total moment in μB per formula unit: 0.7
ΔH_f (0 K) in eV/atom: 1.1463
DFT total energy in eV/f.u.: -16.8

> Look up the size of the total moment of the first one.

1.9 μB per formula unit

> What is the DFT total energy in the first record?

-13.6 eV/f.u.

> Which value of size of the total moment does entry 1 give?

1.9 μB per formula unit